Here is a PBEsol-optimized structure of LaSiAgAs2 from Alexandria via LeMat-Bulk. Energies are from SCAN.

Results
space-group type	P4/mmm, No. 123
energy relative to the elements, uncorrected	-0.240	eV/atom
energy	-126.067	eV per cell
magnetic moment	0.0000	μB per atom

a = 4.908 Å, b = 4.908 Å, c = 4.609 Å
α = 90.00°, β = 90.00°, γ = 90.00°
Fractional coordinates of all 5 atoms:
La1 0.000 0.000 0.000
Si1 0.500 0.500 0.500
Ag1 0.500 0.500 0.000
As1 0.000 0.500 0.500
As2 0.500 0.000 0.500

Here is a PBEsol-optimized structure of Zr2Zn2Pt from Alexandria via LeMat-Bulk. Energies are from SCAN.

Results
space-group type	P4/mbm, No. 127
energy relative to the elements	-0.692	eV/atom
energy	-324.167	eV per cell
magnetic moment	0.0000	μB per atom

a = 6.674 Å, b = 6.674 Å, c = 3.817 Å
α = 90.00°, β = 90.00°, γ = 90.00°
Fractional coordinates of all 10 atoms:
Zr1 0.174 0.326 0.000
Zr2 0.326 0.826 0.000
Zr3 0.674 0.174 0.000
Zr4 0.826 0.674 0.000
Zn1 0.128 0.628 0.500
Zn2 0.372 0.128 0.500
Zn3 0.628 0.872 0.500
Zn4 0.872 0.372 0.500
Pt1 0.000 0.000 0.500
Pt2 0.500 0.500 0.500

Here is a PBEsol-optimized structure of Te5P2Pb2 from Alexandria via LeMat-Bulk. Energies are from SCAN.

Results
space-group type	P-3m1, No. 164
energy relative to the elements, uncorrected	0.044	eV/atom
energy	-358.224	eV per cell
magnetic moment	0.0000	μB per atom

a = 4.143 Å, b = 4.143 Å, c = 17.237 Å
α = 90.00°, β = 90.00°, γ = 120.00°
Fractional coordinates of all 9 atoms:
Te1 0.000 0.000 0.000
Te2 0.333 0.667 0.176
Te3 0.333 0.667 0.577
Te4 0.667 0.333 0.423
Te5 0.667 0.333 0.824
P1 0.333 0.667 0.908
P2 0.667 0.333 0.092
Pb1 0.000 0.000 0.320
Pb2 0.000 0.000 0.680

Here is a PBEsol-optimized structure of AlSbMo2 from Alexandria via LeMat-Bulk. Energies are from SCAN.

Results
energy above the most stable polymorph in this dataset	0.12	eV/f.u.
space-group type	Immm, No. 71
energy relative to the elements, uncorrected	0.231	eV/atom
energy	-227.719	eV per cell
magnetic moment	0.0000	μB per atom

a = 3.346 Å, b = 4.663 Å, c = 8.469 Å
α = 90.00°, β = 90.00°, γ = 90.00°
Fractional coordinates of all 8 atoms:
Al1 0.000 0.000 0.000
Al2 0.500 0.500 0.500
Sb1 0.000 0.000 0.500
Sb2 0.500 0.500 0.000
Mo1 0.000 0.500 0.255
Mo2 0.000 0.500 0.745
Mo3 0.500 0.000 0.245
Mo4 0.500 0.000 0.755

Here is a PBEsol-optimized structure of AgRhAu2 from Alexandria via LeMat-Bulk. Energies are from SCAN.

Results
energy above the most stable polymorph in this dataset	0.18	eV/f.u.
space-group type	P4mm, No. 99
energy relative to the elements	0.120	eV/atom
energy	-202.974	eV per cell
magnetic moment	0.2186	μB per atom

a = 2.783 Å, b = 2.783 Å, c = 8.229 Å
α = 90.00°, β = 90.00°, γ = 90.00°
Fractional coordinates of all 4 atoms:
Ag1 0.000 0.000 0.000
Rh1 0.500 0.500 0.758
Au1 0.000 0.000 0.519
Au2 0.500 0.500 0.256

Here is a PBEsol-optimized structure of SrNbCd2In from Alexandria via LeMat-Bulk. Energies are from SCAN.

Results
space-group type	P4/mmm, No. 123
energy relative to the elements	0.922	eV/atom
energy	-145.012	eV per cell
magnetic moment	0.9589	μB per atom

a = 5.234 Å, b = 5.234 Å, c = 5.957 Å
α = 90.00°, β = 90.00°, γ = 90.00°
Fractional coordinates of all 5 atoms:
Sr1 0.000 0.000 0.000
Nb1 0.500 0.500 0.000
Cd1 0.000 0.500 0.500
Cd2 0.500 0.000 0.500
In1 0.000 0.000 0.500

Here is a PBEsol-optimized structure of Zr2ScPt from Alexandria via LeMat-Bulk. Energies are from SCAN.

Results
energy above the most stable polymorph in this dataset	0.00	eV/f.u.
space-group type	Immm, No. 71
energy relative to the elements	-0.707	eV/atom
energy	-297.315	eV per cell
magnetic moment	0.0003	μB per atom

a = 3.481 Å, b = 4.604 Å, c = 9.704 Å
α = 90.00°, β = 90.00°, γ = 90.00°
Fractional coordinates of all 8 atoms:
Zr1 0.000 0.000 0.233
Zr2 0.000 0.000 0.767
Zr3 0.500 0.500 0.267
Zr4 0.500 0.500 0.733
Sc1 0.000 0.500 0.000
Sc2 0.500 0.000 0.500
Pt1 0.000 0.500 0.500
Pt2 0.500 0.000 0.000

Here is a PBEsol-optimized structure of AlInSCl2 from Alexandria via LeMat-Bulk. Energies are from SCAN.

Results
space-group type	P4/mmm, No. 123
energy relative to the elements, uncorrected	-0.973	eV/atom
energy	-71.589	eV per cell
magnetic moment	0.0000	μB per atom

a = 4.787 Å, b = 4.787 Å, c = 4.605 Å
α = 90.00°, β = 90.00°, γ = 90.00°
Fractional coordinates of all 5 atoms:
Al1 0.000 0.000 0.000
In1 0.500 0.500 0.500
S1 0.000 0.000 0.500
Cl1 0.000 0.500 0.000
Cl2 0.500 0.000 0.000

| no. | DOS at the Fermi energy (states/eV per cell) |
| --- | --- |
| 1 | 2.5 |
| 2 | 6.0 |
| 3 | 1.1 |
| 4 | 5.8 |
| 5 | 2.5 |
| 6 | 4.0 |
| 7 | 8.3 |
| 8 | 0.2 |